ScZnRe2: optimized geometry, GGA-PBE.

Properties
Crystal system: tetragonal
DFT formation energy (eV/atom): -0.121
Size of the total moment (Bohr magnetons per cell): 0.00
Energy (eV/atom): -8.247

The structure in POSCAR format:
```
ScZnRe2
1.0
-2.373 -1.907 -0.476
0.476 0.166 -3.040
4.273 -5.411 0.374
Re Zn Sc
2 1 1
Direct
0.500 0.500 0.221
0.000 0.000 0.011
0.500 0.500 0.775
0.000 0.000 0.494
```